(1)
Below is a relaxed structure of ZrAuI2N, with properties calculated at the PBE level.

The space group is P4/mmm (No. 123) and the conventional cell measures 5.9234, 5.9234 and 3.9998 Å, with angles of 90.00, 90.00 and 90.00 degrees. The asymmetric unit holds Zr at (0.0000, 0.0000, 0.0000), Au at (0.5000, 0.5000, 0.5000), I at (0.0000, 0.5000, 0.0000) and N at (0.0000, 0.0000, 0.5000).

As for the raw formation energy: 0.07 eV per atom.


(2)
Below is a relaxed structure of YLuBePd, with properties calculated at the PBE level.

The space group is F-43m (No. 216) and the conventional cell measures 6.8908, 6.8908 and 6.8908 Å, with angles of 90.00, 90.00 and 90.00 degrees. The asymmetric unit holds Y at (0.0000, 0.0000, 0.0000), Lu at (0.0000, 0.0000, 0.5000), Be at (0.2500, 0.2500, 0.7500) and Pd at (0.2500, 0.2500, 0.2500).

The formation energy is -0.387 eV/atom.